Entry 1:
Material: TaBeHRh2
Method: DFT, PBE
State: relaxed

Results
The final energy comes out at -6.8729 eV/atom. The density of states at the Fermi level comes out at 0.80 states/eV per atom.

a = 3.955 Å, b = 3.955 Å, c = 3.718 Å
α = 90.00°, β = 90.00°, γ = 90.00°
Positions (direct):
Ta  0.500  0.500  0.500
H  0.000  0.000  0.000
Be  0.000  0.000  0.500
Rh  0.500  0.000  0.000
Rh  0.000  0.500  0.000

---

Entry 2:
Material: Ta2BeHRh
Method: DFT, PBE
State: relaxed

Results
The final energy comes out at -7.7384 eV/atom. As for the distance to the lowest polymorph of the same formula: 0.0 kJ per mole of atoms. The density of states at the Fermi level comes out at 0.49 states/eV per atom.

a = 4.042 Å, b = 4.042 Å, c = 3.805 Å
α = 90.00°, β = 90.00°, γ = 90.00°
Positions (direct):
Rh  0.500  0.500  0.500
Be  0.000  0.000  0.500
Ta  0.000  0.500  0.000
Ta  0.500  0.000  0.000
H  0.000  0.000  0.000

---

Entry 3:
Material: Be2TcHRh
Method: DFT, PBE
State: relaxed

Results
The final energy comes out at -5.7063 eV/atom. The density of states at the Fermi level comes out at 0.74 states/eV per atom.

a = 3.875 Å, b = 3.875 Å, c = 3.249 Å
α = 90.00°, β = 90.00°, γ = 90.00°
Positions (direct):
Be  0.000  0.500  0.000
Be  0.500  0.000  0.000
Rh  0.500  0.500  0.500
Tc  0.000  0.000  0.500
H  0.000  0.000  0.000

---

Entry 4:
Material: TiBeHRh2
Method: DFT, PBE
State: relaxed

Results
The final energy comes out at -6.3521 eV/atom. As for the distance to the lowest polymorph of the same formula: 0.0 kJ per mole of atoms. The density of states at the Fermi level comes out at 0.46 states/eV per atom.

a = 4.008 Å, b = 4.008 Å, c = 3.417 Å
α = 90.00°, β = 90.00°, γ = 90.00°
Positions (direct):
Ti  0.500  0.500  0.500
Be  0.000  0.000  0.500
H  0.000  0.000  0.000
Rh  0.000  0.500  0.000
Rh  0.500  0.000  0.000

---

Entry 5:
Material: TiBeHRh2
Method: DFT, PBE
State: relaxed

Results
The final energy comes out at -6.3471 eV/atom. As for the distance to the lowest polymorph of the same formula: 0.5 kJ per mole of atoms. The density of states at the Fermi level comes out at 0.50 states/eV per atom.

a = 3.927 Å, b = 3.927 Å, c = 3.629 Å
α = 90.00°, β = 90.00°, γ = 90.00°
Positions (direct):
Rh  0.000  0.500  0.000
Rh  0.500  0.000  0.000
Be  0.500  0.500  0.500
H  0.000  0.000  0.000
Ti  0.000  0.000  0.500

---

Entry 6:
Material: UBe2H8Rh
Method: DFT, PBE
State: relaxed

Results
The final energy comes out at -4.3963 eV/atom. The density of states at the Fermi level comes out at 0.57 states/eV per atom.

a = 4.396 Å, b = 4.396 Å, c = 6.466 Å
α = 90.00°, β = 90.00°, γ = 120.00°
Each line ends with the local moment (μB).
Positions (direct):
H  0.152  0.848  0.801  0.00
H  0.696  0.848  0.801  0.00
H  0.848  0.696  0.199  0.00
H  0.304  0.152  0.199  0.00
H  0.667  0.333  0.489  -0.01
H  0.848  0.152  0.199  0.00
H  0.152  0.304  0.801  0.00
H  0.333  0.667  0.511  -0.01
Rh  0.000  0.000  0.000  0.30
Be  0.333  0.667  0.749  0.03
Be  0.667  0.333  0.251  0.03
U  0.000  0.000  0.500  2.58